# MgSe4 (GGA-PBE, optimized geometry)
data_MgSe4
_cell_length_a 4.994
_cell_length_b 4.994
_cell_length_c 4.994
_cell_angle_alpha 90.00
_cell_angle_beta 90.00
_cell_angle_gamma 90.00
_symmetry_space_group_name_H-M 'P m -3 m'
_symmetry_Int_Tables_number 221
_symmetry_space_group_name_Hall '-P 4 2 3'
loop_
_atom_site_label
_atom_site_type_symbol
_atom_site_fract_x
_atom_site_fract_y
_atom_site_fract_z
Mg1 Mg 0.000 0.000 0.000
Se1 Se 0.000 0.000 0.500
Se2 Se 0.500 0.500 0.500
# Magnetic moment: 0.00 μB per formula unit
# E_form (uncorrected): 387.6 meV/atom
# V: 125 Å³/cell